Density functional theory data (GGA-PBE) for a relaxed structure of LiTlRh.

The polymorph energy (0 for the lowest one) is 0.000 eV/atom. The total DFT energy (no corrections) is -24.16 eV/cell. The energy of formation is -0.15 eV/atom.

It has space group P4_2/mmc (No. 131), with a = 4.547 Å, b = 4.547 Å, c = 5.912 Å, α = 90.00°, β = 90.00° and γ = 90.00°. Symmetry generates all atoms from Li at (0.000, 0.500, 0.000), Tl at (0.000, 0.500, 0.500) and Rh at (0.000, 0.000, 0.250).